Sm2ScSi2 | PBE | relaxed

Output
Formation energy without anion corrections in kJ/mol of formula units: -356
Electronic total energy in eV/atom: -6.061
Energy relative to the lowest polymorph listed for this composition in meV per atom: 0.0

Geometry as POSCAR:
```
Sm2ScSi2
1.0
7.329 0.000 0.000
0.000 7.329 0.000
0.000 0.000 4.342
Sm Sc Si
4 2 4
direct
0.177 0.323 0.000 Sm
0.323 0.823 0.000 Sm
0.677 0.177 0.000 Sm
0.823 0.677 0.000 Sm
0.000 0.000 0.500 Sc
0.500 0.500 0.500 Sc
0.119 0.619 0.500 Si
0.381 0.119 0.500 Si
0.619 0.881 0.500 Si
0.881 0.381 0.500 Si
```

---

SmScSi | PBE | relaxed

Output
Formation energy without anion corrections in kJ/mol of formula units: -131
Electronic total energy in eV/atom: -5.945
Energy relative to the lowest polymorph listed for this composition in meV per atom: 179.6

Geometry as POSCAR:
```
SmScSi
1.0
0.000 3.364 3.364
3.364 0.000 3.364
3.364 3.364 0.000
Sm Sc Si
1 1 1
direct
0.000 0.000 0.000 Sm
0.500 0.500 0.500 Sc
0.750 0.750 0.750 Si
```

---

Sm2ScSi2 | PBE | relaxed

Output
Formation energy without anion corrections in kJ/mol of formula units: -335
Electronic total energy in eV/atom: -6.017
Energy relative to the lowest polymorph listed for this composition in meV per atom: 43.5

Geometry as POSCAR:
```
Sm2ScSi2
1.0
-2.118 3.012 4.603
2.118 -3.012 4.603
2.118 3.012 -4.603
Sm Sc Si
2 1 2
direct
0.204 0.204 0.000 Sm
0.796 0.796 0.000 Sm
0.500 0.000 0.500 Sc
0.206 0.500 0.706 Si
0.794 0.500 0.294 Si
```

---

SmScZnSi | PBE | relaxed

Output
Formation energy without anion corrections in kJ/mol of formula units: -170
Electronic total energy in eV/atom: -4.879

Geometry as POSCAR:
```
SmScZnSi
1.0
0.000 3.457 3.457
3.457 0.000 3.457
3.457 3.457 0.000
Sm Sc Zn Si
1 1 1 1
direct
0.000 0.000 0.000 Sm
0.500 0.500 0.500 Sc
0.250 0.250 0.250 Zn
0.750 0.750 0.750 Si
```

---

ScSi2Sn2 | PBE | relaxed

Output
Formation energy without anion corrections in kJ/mol of formula units: -29
Electronic total energy in eV/atom: -5.098

Geometry as POSCAR:
```
ScSi2Sn2
1.0
7.095 0.000 0.000
0.000 7.095 0.000
0.000 0.000 4.179
Sc Si Sn
2 4 4
direct
0.000 0.000 0.000 Sc
0.500 0.500 0.000 Sc
0.122 0.378 0.000 Si
0.378 0.878 0.000 Si
0.622 0.122 0.000 Si
0.878 0.622 0.000 Si
0.179 0.679 0.500 Sn
0.321 0.179 0.500 Sn
0.679 0.821 0.500 Sn
0.821 0.321 0.500 Sn
```

---

Sc3SiSn | PBE | relaxed

Output
Formation energy without anion corrections in kJ/mol of formula units: -201
Electronic total energy in eV/atom: -6.100
Energy relative to the lowest polymorph listed for this composition in meV per atom: 0.0

Geometry as POSCAR:
```
Sc3SiSn
1.0
4.964 0.000 0.000
0.000 4.964 0.000
0.000 0.000 4.964
Sc Si Sn
3 1 1
direct
0.000 0.000 0.500 Sc
0.000 0.500 0.000 Sc
0.500 0.000 0.000 Sc
0.000 0.000 0.000 Si
0.500 0.500 0.500 Sn
```

---

Sc6SiSn2 | PBE | relaxed

Output
Formation energy without anion corrections in kJ/mol of formula units: -516
Electronic total energy in eV/atom: -6.307

Geometry as POSCAR:
```
Sc6SiSn2
1.0
7.730 0.000 0.000
-3.865 6.695 0.000
0.000 0.000 3.909
Sc Si Sn
6 1 2
direct
0.000 0.248 0.000 Sc
0.000 0.607 0.500 Sc
0.248 0.000 0.000 Sc
0.393 0.393 0.500 Sc
0.607 0.000 0.500 Sc
0.752 0.752 0.000 Sc
0.000 0.000 0.500 Si
0.333 0.667 0.000 Sn
0.667 0.333 0.000 Sn
```

---

ScSiSn2 | PBE | relaxed

Output
Formation energy without anion corrections in kJ/mol of formula units: -13
Electronic total energy in eV/atom: -4.975

Geometry as POSCAR:
```
ScSiSn2
1.0
-3.990 3.990 2.939
3.990 -3.990 2.939
3.990 3.990 -2.939
Sc Si Sn
2 2 4
direct
0.000 0.000 0.000 Sc
0.750 0.250 0.500 Sc
0.250 0.750 0.500 Si
0.500 0.500 0.000 Si
0.156 0.625 0.031 Sn
0.375 0.406 0.531 Sn
0.594 0.125 0.969 Sn
0.875 0.844 0.469 Sn
```

---

Sc2SiSn | PBE | relaxed

Output
Formation energy without anion corrections in kJ/mol of formula units: 29
Electronic total energy in eV/atom: -5.447

Geometry as POSCAR:
```
Sc2SiSn
1.0
1.622 0.937 10.268
-1.622 0.937 10.268
0.000 -1.873 10.268
Sc Si Sn
2 1 1
direct
0.087 0.087 0.087 Sc
0.913 0.913 0.913 Sc
0.000 0.000 0.000 Si
0.500 0.500 0.500 Sn
```

---

Sc4SiSn | PBE | relaxed

Output
Formation energy without anion corrections in kJ/mol of formula units: -237
Electronic total energy in eV/atom: -6.201

Geometry as POSCAR:
```
Sc4SiSn
1.0
4.084 -2.359 0.000
4.084 2.359 0.000
-2.730 0.000 7.219
Sc Si Sn
4 1 1
direct
0.123 0.123 0.369 Sc
0.293 0.293 0.878 Sc
0.707 0.707 0.122 Sc
0.877 0.877 0.631 Sc
0.000 0.000 0.000 Si
0.500 0.500 0.500 Sn
```

---

Sc2SiSn2 | PBE | relaxed

Output
Formation energy without anion corrections in kJ/mol of formula units: -128
Electronic total energy in eV/atom: -5.483
Energy relative to the lowest polymorph listed for this composition in meV per atom: 156.6

Geometry as POSCAR:
```
Sc2SiSn2
1.0
7.329 0.000 0.000
0.000 7.329 0.000
0.000 0.000 4.225
Sc Si Sn
4 2 4
direct
0.170 0.330 0.000 Sc
0.330 0.830 0.000 Sc
0.670 0.170 0.000 Sc
0.830 0.670 0.000 Sc
0.000 0.000 0.500 Si
0.500 0.500 0.500 Si
0.139 0.639 0.500 Sn
0.361 0.139 0.500 Sn
0.639 0.861 0.500 Sn
0.861 0.361 0.500 Sn
```

---

Sc2SiSn | PBE | relaxed

Output
Formation energy without anion corrections in kJ/mol of formula units: -122
Electronic total energy in eV/atom: -5.837

Geometry as POSCAR:
```
Sc2SiSn
1.0
-3.783 3.783 3.122
3.783 -3.783 3.122
3.783 3.783 -3.122
Sc Si Sn
4 2 2
direct
0.098 0.625 0.973 Sc
0.375 0.348 0.473 Sc
0.652 0.125 0.027 Sc
0.875 0.902 0.527 Sc
0.000 0.000 0.000 Si
0.750 0.250 0.500 Si
0.250 0.750 0.500 Sn
0.500 0.500 0.000 Sn
```

---

Which of these has the highest formation energy without anion corrections?
number 9